Entry from the Alexandria database: a relaxed CsTe2AsI crystal (PBE-GGA).

Output
raw formation energy: -0.281 eV per atom
ρ: 5.05 g/cm³
D(E_F): 5.75 states/eV per cell
SG: No. 123
relative energy among the computed polymorphs: 0 meV per atom

Structure (CIF):
```
data_CsTe2AsI
_symmetry_space_group_name_H-M 'P 1'
_symmetry_Int_Tables_number 1
_symmetry_space_group_name_Hall 'P 1'
_cell_length_a 5.590
_cell_length_b 5.590
_cell_length_c 6.213
_cell_angle_alpha 90.00
_cell_angle_beta 90.00
_cell_angle_gamma 90.00
loop_
_atom_site_label
_atom_site_type_symbol
_atom_site_fract_x
_atom_site_fract_y
_atom_site_fract_z
_atom_site_occupancy
Cs1 Cs 0.500 0.500 0.500 1
I1 I 0.000 0.000 0.500 1
As1 As 0.000 0.000 0.000 1
Te1 Te 0.000 0.500 0.000 1
Te2 Te 0.500 0.000 0.000 1
```